VASP calculation (PBE) on a geometry-optimized Ba2MgBeHg structure.

For the density of states at the Fermi level, the calculation gives 3.57 states/eV/cell. Its formation energy is 416 meV/atom.

The space group is P4/mmm (No. 123) and the conventional cell measures 6.5077, 6.5077 and 5.1984 Å, with angles of 90.00, 90.00 and 90.00 degrees. The inequivalent atoms are Ba at (0.0000, 0.5000, 0.0000), Mg at (0.0000, 0.0000, 0.5000), Be at (0.5000, 0.5000, 0.5000) and Hg at (0.0000, 0.0000, 0.0000).

VASP calculation (PBE) on a geometry-optimized BaMnBe2Hg structure.

For the density of states at the Fermi level, the calculation gives 5.96 states/eV/cell. Its formation energy is 2314 meV/atom.

The space group is P4/mmm (No. 123) and the conventional cell measures 5.4329, 5.4329 and 4.9731 Å, with angles of 90.00, 90.00 and 90.00 degrees. The inequivalent atoms are Ba at (0.0000, 0.0000, 0.0000), Mn at (0.0000, 0.0000, 0.5000), Be at (0.0000, 0.5000, 0.0000) and Hg at (0.5000, 0.5000, 0.5000).

Mass density in g cm⁻³, matching the order above: 3.84 4.65